(1)
A relaxed ZnCrBiRh2 crystal. Source: the Alexandria database, functional PBE-GGA.

It has space group P4/mmm (No. 123), with a = 4.966 Å, b = 4.966 Å, c = 4.947 Å, α = 90.00°, β = 90.00° and γ = 90.00°. The asymmetric unit holds Zn at (0.000, 0.000, 0.000), Cr at (0.500, 0.500, 0.000), Bi at (0.000, 0.000, 0.500) and Rh at (0.000, 0.500, 0.500).

The value obtained for the energy of formation from the pure elements is 1.762 eV/atom. The final energy comes out at -4.13 eV/atom. For the magnetic moment, the calculation gives 0.5 μB per formula unit.

(2)
A relaxed CrBi2Ru crystal. Source: the Alexandria database, functional PBE-GGA.

It has space group Fm-3m (No. 225), with a = 6.730 Å, b = 6.730 Å, c = 6.730 Å, α = 90.00°, β = 90.00° and γ = 90.00°. The asymmetric unit holds Cr at (0.000, 0.000, 0.000), Bi at (0.250, 0.250, 0.250) and Ru at (0.000, 0.000, 0.500).

The value obtained for the energy of formation from the pure elements is 0.677 eV/atom. The calculation puts the energy above the most stable polymorph in this dataset at 0.0000 eV/atom. The final energy comes out at -5.99 eV/atom. For the magnetic moment, the calculation gives 0.0 μB per formula unit.

(3)
A relaxed CrBiRu2 crystal. Source: the Alexandria database, functional PBE-GGA.

It has space group I-42d (No. 122), with a = 4.122 Å, b = 4.122 Å, c = 17.664 Å, α = 90.00°, β = 90.00° and γ = 90.00°. The asymmetric unit holds Cr at (0.000, 0.000, 0.000), Bi at (0.000, 0.000, 0.500) and Ru at (0.179, 0.250, 0.125).

The value obtained for the energy of formation from the pure elements is 0.770 eV/atom. The final energy comes out at -7.24 eV/atom. For the magnetic moment, the calculation gives 2.4 μB per formula unit.

(4)
A relaxed Cr2BiRu crystal. Source: the Alexandria database, functional PBE-GGA.

It has space group I-42d (No. 122), with a = 7.209 Å, b = 7.209 Å, c = 5.773 Å, α = 90.00°, β = 90.00° and γ = 90.00°. The asymmetric unit holds Cr at (0.205, 0.250, 0.125), Bi at (0.000, 0.000, 0.500) and Ru at (0.000, 0.000, 0.000).

The value obtained for the energy of formation from the pure elements is 0.808 eV/atom. The final energy comes out at -7.29 eV/atom. For the magnetic moment, the calculation gives 5.4 μB per formula unit.

What did the first record say?
A relaxed ZnCrBiRh2 crystal. Source: the Alexandria database, functional PBE-GGA.

It has space group P4/mmm (No. 123), with a = 4.966 Å, b = 4.966 Å, c = 4.947 Å, α = 90.00°, β = 90.00° and γ = 90.00°. The asymmetric unit holds Zn at (0.000, 0.000, 0.000), Cr at (0.500, 0.500, 0.000), Bi at (0.000, 0.000, 0.500) and Rh at (0.000, 0.500, 0.500).

The value obtained for the energy of formation from the pure elements is 1.762 eV/atom. The final energy comes out at -4.13 eV/atom. For the magnetic moment, the calculation gives 0.5 μB per formula unit.

> What is the final energy in the second record?

-5.99 eV/atom

> What is the formula in the second record?

CrBi2Ru

> Look up the magnetic moment of the fourth one.

5.4 μB per formula unit